Density functional theory data (PBE) for an optimized crystal structure of MgSi2Au.

Unit cell a=3.4409 b=3.4409 c=22.2658 alpha=90.00 beta=90.00 gamma=120.00
Space group R-3m (No. 166, hexagonal axes)
Symmetry-distinct sites (fractional):
Mg (0.0000, 0.0000, 0.0000) x3
Si (0.0000, 0.0000, 0.2409) x6
Au (0.0000, 0.0000, 0.5000) x3

Output
Formation energy (no corrections), eV per atom: 0.190
Total magnetic moment, μB per formula unit: 0.00

Density functional theory data (PBE) for an optimized crystal structure of Ta7Re.

Unit cell a=8.352 b=8.352 c=8.352 alpha=90.00 beta=90.00 gamma=90.00
Space group Fm-3m (No. 225)
Symmetry-distinct sites (fractional):
Ta (0.000, 0.000, 0.000) x4
Ta (0.000, 0.250, 0.250) x24
Re (0.000, 0.000, 0.500) x4

Output
Formation enthalpy at 0 K, kJ/mol of formula units: 180
Total magnetic moment, μB per formula unit: 0.00

Density functional theory data (PBE) for an optimized crystal structure of PmSmDyCu.

Unit cell a=3.559 b=3.559 c=8.699 alpha=90.00 beta=90.00 gamma=90.00
Space group P4mm (No. 99)
Symmetry-distinct sites (fractional):
Pm (0.000, 0.000, 0.000) x1
Sm (0.500, 0.500, 0.693) x1
Dy (0.500, 0.500, 0.303) x1
Cu (0.000, 0.000, 0.488) x1

Output
Formation enthalpy at 0 K, kJ/mol of formula units: -33
Total magnetic moment, μB per formula unit: 0.00